Record 1
First-principles (GGA-PBE) data for a relaxed structure of CeB2Rh5, as listed in the Alexandria database.

The structure belongs to space group Immm (No. 71); the cell edges are 3.8608, 5.7023 and 10.1573 Å and the angles 90.00°, 90.00° and 90.00°. Symmetry generates all atoms from Ce at (0.0000, 0.0000, 0.0000), B at (0.0000, 0.5000, 0.2066), Rh at (0.0000, 0.2326, 0.3482) and Rh at (0.0000, 0.5000, 0.0000).

The calculation puts the energy of formation from the pure elements at -0.500 eV per atom.

Record 2
First-principles (GGA-PBE) data for a relaxed structure of CeB3Rh6, as listed in the Alexandria database.

The structure belongs to space group R3 (No. 146, hexagonal axes); the cell edges are 5.4679, 5.4679 and 15.6390 Å and the angles 90.00°, 90.00° and 120.00°. Symmetry generates all atoms from Ce at (0.0000, 0.0000, 0.0000), B at (0.0000, 0.0000, 0.1764), B at (0.0000, 0.0000, 0.3776), B at (0.0000, 0.0000, 0.7114), Rh at (0.0004, 0.5126, 0.9473) and Rh at (0.0024, 0.4054, 0.1285).

The calculation puts the energy of formation from the pure elements at -0.454 eV per atom.

Record 3
First-principles (GGA-PBE) data for a relaxed structure of CeBRh, as listed in the Alexandria database.

The structure belongs to space group P-62m (No. 189); the cell edges are 6.6044, 6.6044 and 3.9071 Å and the angles 90.00°, 90.00° and 120.00°. Symmetry generates all atoms from Ce at (0.0000, 0.5703, 0.0000), B at (0.0000, 0.1694, 0.5000), Rh at (0.0000, 0.0000, 0.0000) and Rh at (0.3333, 0.6667, 0.5000).

The calculation puts the excess energy over the best structure of this formula in the dataset at 0.656 eV/f.u. The calculation puts the energy of formation from the pure elements at -0.258 eV per atom.

Record 4
First-principles (GGA-PBE) data for a relaxed structure of CeB2Rh8, as listed in the Alexandria database.

The structure belongs to space group C2/m (No. 12); the cell edges are 7.2714, 10.2519 and 4.2614 Å and the angles 90.00°, 103.89° and 90.00°. Symmetry generates all atoms from Ce at (0.0000, 0.0000, 0.0000), B at (0.0000, 0.3166, 0.5000), Rh at (0.0000, 0.2669, 0.0000), Rh at (0.1083, 0.5000, 0.7922) and Rh at (0.1950, 0.1353, 0.5874).

The calculation puts the energy of formation from the pure elements at -0.230 eV per atom.

Record 5
First-principles (GGA-PBE) data for a relaxed structure of CeBRuRh2, as listed in the Alexandria database.

The structure belongs to space group P4/mmm (No. 123); the cell edges are 4.2161, 4.2161 and 4.2472 Å and the angles 90.00°, 90.00° and 90.00°. Symmetry generates all atoms from Ce at (0.0000, 0.0000, 0.0000), B at (0.5000, 0.5000, 0.5000), Ru at (0.5000, 0.5000, 0.0000) and Rh at (0.0000, 0.5000, 0.5000).

The calculation puts the energy of formation from the pure elements at -0.637 eV per atom.

Record 6
First-principles (GGA-PBE) data for a relaxed structure of Ce3B2RuRh9, as listed in the Alexandria database.

The structure belongs to space group P-3m1 (No. 164); the cell edges are 5.7994, 5.7994 and 8.6624 Å and the angles 90.00°, 90.00° and 120.00°. Symmetry generates all atoms from Ce at (0.0000, 0.0000, 0.0000), Ce at (0.3333, 0.6667, 0.6442), B at (0.3333, 0.6667, 0.1438), Ru at (0.0000, 0.0000, 0.5000), Rh at (0.0000, 0.5000, 0.0000) and Rh at (0.1664, 0.3327, 0.2832).

The calculation puts the energy of formation from the pure elements at -0.484 eV per atom.

Record 7
First-principles (GGA-PBE) data for a relaxed structure of CeBRu2Rh, as listed in the Alexandria database.

The structure belongs to space group P4/mmm (No. 123); the cell edges are 4.2392, 4.2392 and 4.1792 Å and the angles 90.00°, 90.00° and 90.00°. Symmetry generates all atoms from Ce at (0.0000, 0.0000, 0.0000), B at (0.5000, 0.5000, 0.5000), Ru at (0.0000, 0.5000, 0.5000) and Rh at (0.5000, 0.5000, 0.0000).

The calculation puts the energy of formation from the pure elements at -0.528 eV per atom.

Record 8
First-principles (GGA-PBE) data for a relaxed structure of CeB2Ru2Rh, as listed in the Alexandria database.

The structure belongs to space group Cmmm (No. 65); the cell edges are 5.6438, 9.5212 and 2.9916 Å and the angles 90.00°, 90.00° and 90.00°. Symmetry generates all atoms from Ce at (0.0000, 0.0000, 0.0000), B at (0.0000, 0.3269, 0.0000), Ru at (0.2500, 0.2500, 0.5000) and Rh at (0.0000, 0.5000, 0.5000).

The calculation puts the energy of formation from the pure elements at -0.591 eV per atom.

Record 9
First-principles (GGA-PBE) data for a relaxed structure of Ce3B2SbRh9, as listed in the Alexandria database.

The structure belongs to space group P-3m1 (No. 164); the cell edges are 5.8224, 5.8224 and 8.9474 Å and the angles 90.00°, 90.00° and 120.00°. Symmetry generates all atoms from Ce at (0.0000, 0.0000, 0.0000), Ce at (0.3333, 0.6667, 0.6858), B at (0.3333, 0.6667, 0.1432), Sb at (0.0000, 0.0000, 0.5000), Rh at (0.0000, 0.5000, 0.0000) and Rh at (0.1637, 0.3273, 0.2711).

The calculation puts the formation energy from raw total energies at -0.669 eV/atom.

Record 10
First-principles (GGA-PBE) data for a relaxed structure of CeB2SbRh5, as listed in the Alexandria database.

The structure belongs to space group P4/mmm (No. 123); the cell edges are 4.0338, 4.0338 and 8.8571 Å and the angles 90.00°, 90.00° and 90.00°. Symmetry generates all atoms from Ce at (0.0000, 0.0000, 0.0000), B at (0.5000, 0.5000, 0.2364), Sb at (0.0000, 0.0000, 0.5000), Rh at (0.0000, 0.5000, 0.3061) and Rh at (0.5000, 0.5000, 0.0000).

The calculation puts the formation energy from raw total energies at -0.475 eV/atom.

Record 11
First-principles (GGA-PBE) data for a relaxed structure of Ce2BSbRh6, as listed in the Alexandria database.

The structure belongs to space group P4/mmm (No. 123); the cell edges are 4.6381, 4.6381 and 8.8800 Å and the angles 90.00°, 90.00° and 90.00°. Symmetry generates all atoms from Ce at (0.0000, 0.0000, 0.2337), B at (0.5000, 0.5000, 0.0000), Sb at (0.5000, 0.5000, 0.5000), Rh at (0.0000, 0.5000, 0.0000), Rh at (0.0000, 0.5000, 0.5000) and Rh at (0.5000, 0.5000, 0.2176).

The calculation puts the formation energy from raw total energies at -0.231 eV/atom.

Record 12
First-principles (GGA-PBE) data for a relaxed structure of Ce3B2Rh9Se, as listed in the Alexandria database.

The structure belongs to space group P-3m1 (No. 164); the cell edges are 5.8274, 5.8274 and 8.5704 Å and the angles 90.00°, 90.00° and 120.00°. Symmetry generates all atoms from Ce at (0.0000, 0.0000, 0.0000), Ce at (0.3333, 0.6667, 0.6696), B at (0.3333, 0.6667, 0.1495), Rh at (0.0000, 0.5000, 0.0000), Rh at (0.1633, 0.3267, 0.2835) and Se at (0.0000, 0.0000, 0.5000).

The calculation puts the formation energy from raw total energies at -0.658 eV/atom.

Record 13
First-principles (GGA-PBE) data for a relaxed structure of Ce2SiB2Rh5, as listed in the Alexandria database.

The structure belongs to space group P4/mbm (No. 127); the cell edges are 9.4450, 9.4450 and 3.2830 Å and the angles 90.00°, 90.00° and 90.00°. Symmetry generates all atoms from Ce at (0.1769, 0.3231, 0.0000), Si at (0.0000, 0.0000, 0.0000), B at (0.1211, 0.6211, 0.0000), Rh at (0.0000, 0.5000, 0.5000) and Rh at (0.0691, 0.7835, 0.5000).

The calculation puts the formation energy from raw total energies at -0.706 eV/atom.

Record 14
First-principles (GGA-PBE) data for a relaxed structure of CeSiBRh3, as listed in the Alexandria database.

The structure belongs to space group P-6m2 (No. 187); the cell edges are 5.5365, 5.5365 and 3.4209 Å and the angles 90.00°, 90.00° and 120.00°. Symmetry generates all atoms from Ce at (0.0000, 0.0000, 0.0000), Si at (0.6667, 0.3333, 0.0000), B at (0.3333, 0.6667, 0.0000) and Rh at (0.0131, 0.5066, 0.5000).

The calculation puts the formation energy from raw total energies at -0.776 eV/atom.

Record 15
First-principles (GGA-PBE) data for a relaxed structure of Ce2SnB2Rh5, as listed in the Alexandria database.

The structure belongs to space group P4/mbm (No. 127); the cell edges are 9.6681, 9.6681 and 3.3291 Å and the angles 90.00°, 90.00° and 90.00°. Symmetry generates all atoms from Ce at (0.1763, 0.3237, 0.0000), Sn at (0.0000, 0.0000, 0.0000), B at (0.1200, 0.6200, 0.0000), Rh at (0.0000, 0.5000, 0.5000) and Rh at (0.0710, 0.7731, 0.5000).

The calculation puts the energy of formation from the pure elements at -0.718 eV per atom.

Record 16
First-principles (GGA-PBE) data for a relaxed structure of Ce3SnB2Rh9, as listed in the Alexandria database.

The structure belongs to space group P-3m1 (No. 164); the cell edges are 5.8099, 5.8099 and 9.0331 Å and the angles 90.00°, 90.00° and 120.00°. Symmetry generates all atoms from Ce at (0.0000, 0.0000, 0.0000), Ce at (0.3333, 0.6667, 0.6865), Sn at (0.0000, 0.0000, 0.5000), B at (0.3333, 0.6667, 0.1426), Rh at (0.0000, 0.5000, 0.0000) and Rh at (0.1629, 0.3259, 0.2680).

The calculation puts the energy of formation from the pure elements at -0.647 eV per atom.

Record 17
First-principles (GGA-PBE) data for a relaxed structure of Ce4B3TeRh12, as listed in the Alexandria database.

The structure belongs to space group Im-3m (No. 229); the cell edges are 8.7881, 8.7881 and 8.7881 Å and the angles 90.00°, 90.00° and 90.00°. Symmetry generates all atoms from Ce at (0.2500, 0.2500, 0.2500), B at (0.0000, 0.0000, 0.5000), Te at (0.0000, 0.0000, 0.0000), Rh at (0.0000, 0.0000, 0.2790) and Rh at (0.0000, 0.2500, 0.5000).

The calculation puts the formation energy from raw total energies at -0.548 eV/atom.

Record 18
First-principles (GGA-PBE) data for a relaxed structure of Ce2BTeRh6, as listed in the Alexandria database.

The structure belongs to space group P4/mmm (No. 123); the cell edges are 4.6499, 4.6499 and 8.9050 Å and the angles 90.00°, 90.00° and 90.00°. Symmetry generates all atoms from Ce at (0.0000, 0.0000, 0.2301), B at (0.5000, 0.5000, 0.0000), Te at (0.5000, 0.5000, 0.5000), Rh at (0.0000, 0.5000, 0.0000), Rh at (0.0000, 0.5000, 0.5000) and Rh at (0.5000, 0.5000, 0.2167).

The calculation puts the formation energy from raw total energies at -0.209 eV/atom.

Record 19
First-principles (GGA-PBE) data for a relaxed structure of CeZnB2Rh5, as listed in the Alexandria database.

The structure belongs to space group P4/mmm (No. 123); the cell edges are 4.1887, 4.1887 and 7.2686 Å and the angles 90.00°, 90.00° and 90.00°. Symmetry generates all atoms from Ce at (0.0000, 0.0000, 0.0000), Zn at (0.0000, 0.0000, 0.5000), B at (0.5000, 0.5000, 0.3103), Rh at (0.0000, 0.5000, 0.2841) and Rh at (0.5000, 0.5000, 0.0000).

The calculation puts the energy of formation from the pure elements at -0.475 eV per atom.

Record 20
First-principles (GGA-PBE) data for a relaxed structure of Ce3ZnB2Rh9, as listed in the Alexandria database.

The structure belongs to space group P-3m1 (No. 164); the cell edges are 5.9471, 5.9471 and 8.0410 Å and the angles 90.00°, 90.00° and 120.00°. Symmetry generates all atoms from Ce at (0.0000, 0.0000, 0.0000), Ce at (0.3333, 0.6667, 0.6552), Zn at (0.0000, 0.0000, 0.5000), B at (0.3333, 0.6667, 0.1489), Rh at (0.0000, 0.5000, 0.0000) and Rh at (0.1715, 0.3430, 0.2969).

The calculation puts the energy of formation from the pure elements at -0.610 eV per atom.